Entry 1:
{"formula": "TlCu3Cl", "functional": "PBE", "state": "relaxed", "total_magnetization_mub_per_cell": 0.00, "de_polymorph_ev_per_atom": 0.000, "cell": [[4.6104, 0.0000, 0.0000], [0.0000, 4.6104, 0.0000], [0.0000, 0.0000, 4.6104]], "species": ["Tl", "Cu", "Cu", "Cu", "Cl"], "fractional_positions": [[0.0000, 0.0000, 0.0000], [0.0000, 0.5000, 0.5000], [0.5000, 0.0000, 0.5000], [0.5000, 0.5000, 0.0000], [0.5000, 0.5000, 0.5000]]}



Entry 2:
{"formula": "VPt3N", "functional": "PBE", "state": "relaxed", "total_magnetization_mub_per_cell": 3.01, "de_polymorph_ev_per_atom": 0.000, "cell": [[4.1879, 0.0000, 0.0000], [0.0000, 4.1879, 0.0000], [0.0000, 0.0000, 4.1879]], "species": ["V", "Pt", "Pt", "Pt", "N"], "fractional_positions": [[0.0000, 0.0000, 0.0000], [0.0000, 0.5000, 0.5000], [0.5000, 0.0000, 0.5000], [0.5000, 0.5000, 0.0000], [0.5000, 0.5000, 0.5000]]}



Entry 3:
{"formula": "ScSb2Mo", "functional": "PBE", "state": "relaxed", "total_magnetization_mub_per_cell": 0.00, "de_polymorph_ev_per_atom": 0.101, "cell": [[4.2587, -1.7681, 0.0000], [4.2587, 1.7681, 0.0000], [-1.2354, 0.0000, 5.7593]], "species": ["Sc", "Sb", "Sb", "Mo"], "fractional_positions": [[0.0000, 0.0000, 0.0000], [0.2395, 0.2395, 0.7196], [0.7605, 0.7605, 0.2804], [0.5000, 0.5000, 0.5000]]}



Entry 4:
{"formula": "Pm6Si3Bi", "functional": "PBE", "state": "relaxed", "e_tot_ev_per_atom": -5.36, "total_magnetization_mub_per_cell": 0.00, "cell": [[5.4533, -7.2439, 0.0000], [5.4533, 7.2439, 0.0000], [0.0000, 0.0000, 7.7071]], "species": ["Pm", "Pm", "Pm", "Pm", "Pm", "Pm", "Pm", "Pm", "Pm", "Pm", "Pm", "Pm", "Si", "Si", "Si", "Si", "Si", "Si", "Bi", "Bi"], "fractional_positions": [[0.0062, 0.9938, 0.5000], [0.0908, 0.5240, 0.5180], [0.2454, 0.7546, 0.1622], [0.2818, 0.3579, 0.1227], [0.3579, 0.2818, 0.6227], [0.4760, 0.9092, 0.5180], [0.5240, 0.0908, 0.0180], [0.6421, 0.7182, 0.1227], [0.7182, 0.6421, 0.6227], [0.7546, 0.2454, 0.6622], [0.9092, 0.4760, 0.0180], [0.9938, 0.0062, 0.0000], [0.0734, 0.2899, 0.7940], [0.2899, 0.0734, 0.2940], [0.4164, 0.5836, 0.4021], [0.5836, 0.4164, 0.9021], [0.7101, 0.9266, 0.7940], [0.9266, 0.7101, 0.2940], [0.1773, 0.8227, 0.7725], [0.8227, 0.1773, 0.2725]]}



Entry 5:
{"formula": "Ce2NpRh", "functional": "PBE", "state": "relaxed", "total_magnetization_mub_per_cell": 3.47, "delta_e_f_ev_per_atom": -0.119, "cell": [[5.1633, 0.0000, 0.0000], [0.0000, 5.1633, 0.0000], [0.0000, 0.0000, 3.1657]], "species": ["Ce", "Ce", "Np", "Rh"], "fractional_positions": [[0.0000, 0.5000, 0.0000], [0.5000, 0.0000, 0.0000], [0.0000, 0.0000, 0.5000], [0.5000, 0.5000, 0.5000]]}



Entry 6:
{"formula": "AcY3Te4", "functional": "PBE", "state": "relaxed", "e_tot_ev_per_atom": -5.86, "total_magnetization_mub_per_cell": 0.00, "cell": [[4.3780, 0.0000, 0.0000], [-2.1890, 3.7915, 0.0000], [0.0000, 0.0000, 30.2411]], "species": ["Ac", "Ac", "Y", "Y", "Y", "Y", "Y", "Y", "Te", "Te", "Te", "Te", "Te", "Te", "Te", "Te"], "fractional_positions": [[0.3333, 0.6667, 0.2500], [0.6667, 0.3333, 0.7500], [0.0000, 0.0000, 0.0000], [0.0000, 0.0000, 0.5000], [0.3333, 0.6667, 0.6176], [0.3333, 0.6667, 0.8824], [0.6667, 0.3333, 0.1176], [0.6667, 0.3333, 0.3824], [0.0000, 0.0000, 0.1766], [0.0000, 0.0000, 0.3234], [0.0000, 0.0000, 0.6766], [0.0000, 0.0000, 0.8234], [0.3333, 0.6667, 0.0589], [0.3333, 0.6667, 0.4411], [0.6667, 0.3333, 0.5589], [0.6667, 0.3333, 0.9411]]}



Entry 7:
{"formula": "NdY4Ho", "functional": "PBE", "state": "relaxed", "total_magnetization_mub_per_cell": 0.00, "de_polymorph_ev_per_atom": 0.599, "delta_e_f_ev_per_atom": 0.667, "cell": [[4.5579, 0.0000, 0.0000], [0.0000, 4.5579, 0.0000], [0.0000, 0.0000, 11.0930]], "species": ["Nd", "Y", "Y", "Y", "Y", "Ho"], "fractional_positions": [[0.0000, 0.0000, 0.0000], [0.0000, 0.5000, 0.2539], [0.0000, 0.5000, 0.7461], [0.5000, 0.0000, 0.2539], [0.5000, 0.0000, 0.7461], [0.5000, 0.5000, 0.5000]]}



Entry 8:
{"formula": "AsC3", "functional": "PBE", "state": "relaxed", "total_magnetization_mub_per_cell": 0.00, "de_polymorph_ev_per_atom": 0.097, "delta_e_f_ev_per_atom": 0.859, "cell": [[4.5637, -1.8232, 0.0000], [4.5637, 1.8232, 0.0000], [-0.5085, 0.0000, 4.0329]], "species": ["As", "C", "C", "C"], "fractional_positions": [[0.0000, 0.0000, 0.0000], [0.2255, 0.6019, 0.6217], [0.6019, 0.2255, 0.6217], [0.8983, 0.8983, 0.4078]]}



Entry 9:
{"formula": "Tb4HoSn2", "functional": "PBE", "state": "relaxed", "total_magnetization_mub_per_cell": 0.01, "delta_e_f_ev_per_atom": -0.206, "cell": [[2.5640, 1.4803, 10.1067], [-2.5640, 1.4803, 10.1067], [0.0000, -2.9606, 10.1067]], "species": ["Tb", "Tb", "Tb", "Tb", "Ho", "Sn", "Sn"], "fractional_positions": [[0.1135, 0.1135, 0.1135], [0.2945, 0.2945, 0.2945], [0.7055, 0.7055, 0.7055], [0.8865, 0.8865, 0.8865], [0.5000, 0.5000, 0.5000], [0.3991, 0.3991, 0.3991], [0.6009, 0.6009, 0.6009]]}



Entry 10:
{"formula": "La2Tc", "functional": "PBE", "state": "relaxed", "total_magnetization_mub_per_cell": 0.00, "de_polymorph_ev_per_atom": 0.040, "delta_e_f_ev_per_atom": 0.075, "cell": [[-1.7682, 1.7682, 7.0501], [1.7682, -1.7682, 7.0501], [1.7682, 1.7682, -7.0501]], "species": ["La", "La", "Tc"], "fractional_positions": [[0.1226, 0.1226, 0.0000], [0.8774, 0.8774, 0.0000], [0.5000, 0.5000, 0.0000]]}



Entry 11:
{"formula": "Nd2Mg3Tl4", "functional": "PBE", "state": "relaxed", "total_magnetization_mub_per_cell": 0.00, "delta_e_f_ev_per_atom": -0.220, "cell": [[3.2824, -8.4407, 0.0000], [3.2824, 8.4407, 0.0000], [0.0000, 0.0000, 8.6212]], "species": ["Nd", "Nd", "Nd", "Nd", "Mg", "Mg", "Mg", "Mg", "Mg", "Mg", "Tl", "Tl", "Tl", "Tl", "Tl", "Tl", "Tl", "Tl"], "fractional_positions": [[0.1069, 0.8931, 0.9101], [0.3931, 0.6069, 0.4101], [0.6069, 0.3931, 0.5899], [0.8931, 0.1069, 0.0899], [0.0000, 0.0000, 0.5000], [0.0243, 0.4757, 0.7500], [0.4757, 0.0243, 0.2500], [0.5000, 0.5000, 0.0000], [0.5243, 0.9757, 0.7500], [0.9757, 0.5243, 0.2500], [0.1773, 0.8227, 0.5322], [0.1976, 0.3024, 0.7500], [0.3024, 0.1976, 0.2500], [0.3227, 0.6773, 0.0322], [0.6773, 0.3227, 0.9678], [0.6976, 0.8024, 0.7500], [0.8024, 0.6976, 0.2500], [0.8227, 0.1773, 0.4678]]}



Entry 12:
{"formula": "ThSi7Os3", "functional": "PBE", "state": "relaxed", "e_tot_ev_per_atom": -7.69, "total_magnetization_mub_per_cell": 0.00, "cell": [[3.8504, 2.2230, 6.7707], [-3.8504, 2.2230, 6.7707], [0.0000, -4.4460, 6.7707]], "species": ["Th", "Th", "Si", "Si", "Si", "Si", "Si", "Si", "Si", "Si", "Si", "Si", "Si", "Si", "Si", "Si", "Os", "Os", "Os", "Os", "Os", "Os"], "fractional_positions": [[0.0000, 0.0000, 0.0000], [0.5000, 0.5000, 0.5000], [0.0587, 0.8537, 0.6698], [0.1463, 0.3302, 0.9413], [0.1698, 0.3537, 0.5587], [0.2500, 0.2500, 0.2500], [0.3302, 0.9413, 0.1463], [0.3537, 0.5587, 0.1698], [0.4413, 0.8302, 0.6463], [0.5587, 0.1698, 0.3537], [0.6463, 0.4413, 0.8302], [0.6698, 0.0587, 0.8537], [0.7500, 0.7500, 0.7500], [0.8302, 0.6463, 0.4413], [0.8537, 0.6698, 0.0587], [0.9413, 0.1463, 0.3302], [0.0784, 0.7500, 0.4216], [0.2500, 0.5784, 0.9216], [0.4216, 0.0784, 0.7500], [0.5784, 0.9216, 0.2500], [0.7500, 0.4216, 0.0784], [0.9216, 0.2500, 0.5784]]}



Entry 13:
{"formula": "AlAu3", "functional": "PBE", "state": "relaxed", "total_magnetization_mub_per_cell": 0.00, "delta_e_f_ev_per_atom": -0.200, "cell": [[5.9192, 0.0000, 0.0000], [-2.9596, 5.1262, 0.0000], [0.0000, 0.0000, 4.5683]], "species": ["Al", "Al", "Au", "Au", "Au", "Au", "Au", "Au"], "fractional_positions": [[0.3333, 0.6667, 0.2500], [0.6667, 0.3333, 0.7500], [0.1713, 0.3425, 0.7500], [0.1713, 0.8287, 0.7500], [0.3425, 0.1713, 0.2500], [0.6575, 0.8287, 0.7500], [0.8287, 0.1713, 0.2500], [0.8287, 0.6575, 0.2500]]}



Entry 14:
{"formula": "ErVTcRu", "functional": "PBE", "state": "relaxed", "total_magnetization_mub_per_cell": 0.01, "delta_e_f_ev_per_atom": -0.115, "cell": [[0.0000, 3.1884, 3.1884], [3.1884, 0.0000, 3.1884], [3.1884, 3.1884, 0.0000]], "species": ["Er", "V", "Tc", "Ru"], "fractional_positions": [[0.0000, 0.0000, 0.0000], [0.5000, 0.5000, 0.5000], [0.7500, 0.7500, 0.7500], [0.2500, 0.2500, 0.2500]]}



Entry 15:
{"formula": "Ta5NbRu", "functional": "PBE", "state": "relaxed", "total_magnetization_mub_per_cell": 0.00, "delta_e_f_ev_per_atom": 0.131, "cell": [[4.5523, 0.0000, 0.0000], [0.0000, 4.5523, 0.0000], [0.0000, 0.0000, 6.4012]], "species": ["Ta", "Ta", "Ta", "Ta", "Ta", "Nb", "Ru"], "fractional_positions": [[0.0000, 0.0000, 0.0000], [0.0000, 0.5000, 0.2631], [0.0000, 0.5000, 0.7369], [0.5000, 0.0000, 0.2631], [0.5000, 0.0000, 0.7369], [0.5000, 0.5000, 0.0000], [0.5000, 0.5000, 0.5000]]}



Entry 16:
{"formula": "SrCa2Ta", "functional": "PBE", "state": "relaxed", "total_magnetization_mub_per_cell": 1.39, "de_polymorph_ev_per_atom": 0.118, "delta_e_f_ev_per_atom": 0.740, "cell": [[6.2090, -1.7367, 0.0000], [6.2090, 1.7367, 0.0000], [-1.5892, 0.0000, 6.1354]], "species": ["Sr", "Ca", "Ca", "Ta"], "fractional_positions": [[0.0000, 0.0000, 0.0000], [0.2223, 0.2223, 0.7179], [0.7777, 0.7777, 0.2821], [0.5000, 0.5000, 0.5000]]}



Entry 17:
{"formula": "ZrP2Os", "functional": "PBE", "state": "relaxed", "total_magnetization_mub_per_cell": 0.00, "de_polymorph_ev_per_atom": 0.000, "delta_e_f_ev_per_atom": -0.637, "cell": [[1.9007, 1.0974, 5.1100], [-1.9007, 1.0974, 5.1100], [0.0000, -2.1948, 5.1100]], "species": ["Zr", "P", "P", "Os"], "fractional_positions": [[0.0000, 0.0000, 0.0000], [0.2336, 0.2336, 0.2336], [0.7664, 0.7664, 0.7664], [0.5000, 0.5000, 0.5000]]}



Entry 18:
{"formula": "Sm5Tl2Pd", "functional": "PBE", "state": "relaxed", "total_magnetization_mub_per_cell": 0.00, "de_polymorph_ev_per_atom": 0.120, "delta_e_f_ev_per_atom": -0.277, "cell": [[-3.5546, 3.5546, 4.4902], [3.5546, -3.5546, 4.4902], [3.5546, 3.5546, -4.4902]], "species": ["Sm", "Sm", "Sm", "Sm", "Sm", "Tl", "Tl", "Pd"], "fractional_positions": [[0.0000, 0.0000, 0.0000], [0.0146, 0.0146, 0.5055], [0.0146, 0.5092, 0.0000], [0.5092, 0.0146, 0.0000], [0.5092, 0.5092, 0.4945], [0.0113, 0.5113, 0.5000], [0.5113, 0.0113, 0.5000], [0.5875, 0.5875, 0.0000]]}



Entry 19:
{"formula": "Rb2PuPbBr6", "functional": "PBE", "state": "relaxed", "e_tot_ev_per_atom": -4.41, "total_magnetization_mub_per_cell": 12.01, "cell": [[7.9855, 0.0000, 0.0000], [0.0000, 8.4835, 0.0000], [-7.8870, 0.0000, 11.5778]], "species": ["Rb", "Rb", "Rb", "Rb", "Pu", "Pu", "Pb", "Pb", "Br", "Br", "Br", "Br", "Br", "Br", "Br", "Br", "Br", "Br", "Br", "Br"], "fractional_positions": [[0.2228, 0.0754, 0.2493], [0.2228, 0.4246, 0.7493], [0.7772, 0.5754, 0.2507], [0.7772, 0.9246, 0.7507], [0.5000, 0.0000, 0.0000], [0.5000, 0.5000, 0.5000], [0.0000, 0.0000, 0.5000], [0.0000, 0.5000, 0.0000], [0.1464, 0.1933, 0.9470], [0.1464, 0.3067, 0.4470], [0.2582, 0.7054, 0.9459], [0.2582, 0.7946, 0.4459], [0.3597, 0.0308, 0.7545], [0.3597, 0.4692, 0.2545], [0.6403, 0.5308, 0.7455], [0.6403, 0.9692, 0.2455], [0.7418, 0.2054, 0.5541], [0.7418, 0.2946, 0.0541], [0.8536, 0.6933, 0.5530], [0.8536, 0.8067, 0.0530]]}



Entry 20:
{"formula": "Nd2DyTmTh", "functional": "PBE", "state": "relaxed", "total_magnetization_mub_per_cell": 0.00, "delta_e_f_ev_per_atom": 0.313, "cell": [[8.5296, 0.0000, 0.0000], [0.0000, 6.3443, 0.0000], [-0.0590, 0.0000, 6.3899]], "species": ["Nd", "Nd", "Nd", "Nd", "Dy", "Dy", "Tm", "Tm", "Th", "Th"], "fractional_positions": [[0.1895, 0.2113, 0.2527], [0.1895, 0.7887, 0.7527], [0.8105, 0.2113, 0.2473], [0.8105, 0.7887, 0.7473], [0.5000, 0.5000, 0.0000], [0.5000, 0.5000, 0.5000], [0.0000, 0.3091, 0.7500], [0.0000, 0.6909, 0.2500], [0.5000, 0.0530, 0.7500], [0.5000, 0.9470, 0.2500]]}